(1)
A plane-wave DFT calculation with PBE was carried out for a geometry-optimized EuEr2Sc structure.

```
4
Lattice="3.5572 0.0000 0.0000 0.0000 3.5572 0.0000 0.0000 0.0000 9.8000" Properties=species:S:1:pos:R:3 pbc="T T T"
Eu 0.0000 0.0000 0.0000
Er 1.7786 1.7786 2.7402
Er 1.7786 1.7786 7.0598
Sc 0.0000 0.0000 4.9000
```

Properties
energy above the most stable polymorph in this dataset = 0.000 eV per atom

(2)
A plane-wave DFT calculation with PBE was carried out for a geometry-optimized EuErSc2 structure.

```
4
Lattice="3.5057 0.0000 0.0000 0.0000 3.5057 0.0000 0.0000 0.0000 9.5244" Properties=species:S:1:pos:R:3 pbc="T T T"
Eu 0.0000 0.0000 0.0000
Er 0.0000 0.0000 4.7622
Sc 1.7529 1.7529 2.5419
Sc 1.7529 1.7529 6.9825
```

Properties
energy above the most stable polymorph in this dataset = 0.000 eV per atom

(3)
A plane-wave DFT calculation with PBE was carried out for a geometry-optimized TbEuErSc structure.

```
4
Lattice="0.0000 3.9609 3.9609 3.9609 0.0000 3.9609 3.9609 3.9609 0.0000" Properties=species:S:1:pos:R:3 pbc="T T T"
Tb 0.0000 0.0000 0.0000
Eu 1.9804 1.9804 1.9804
Er 3.9609 3.9609 3.9609
Sc 5.9413 5.9413 5.9413
```

(4)
A plane-wave DFT calculation with PBE was carried out for a geometry-optimized EuYErSc structure.

```
4
Lattice="0.0000 3.9671 3.9671 3.9671 0.0000 3.9671 3.9671 3.9671 0.0000" Properties=species:S:1:pos:R:3 pbc="T T T"
Eu 0.0000 0.0000 0.0000
Y 5.9506 5.9506 5.9506
Er 1.9835 1.9835 1.9835
Sc 3.9671 3.9671 3.9671
```

(5)
A plane-wave DFT calculation with PBE was carried out for a geometry-optimized EuErSe2 structure.

```
4
Lattice="2.0697 1.1950 6.8883 -2.0697 1.1950 6.8883 0.0000 -2.3899 6.8883" Properties=species:S:1:pos:R:3 pbc="T T T"
Eu 0.0000 0.0000 0.0000
Er 0.0000 0.0000 10.3325
Se 0.0000 0.0000 5.0477
Se 0.0000 0.0000 15.6173
```

Properties
ΔE_f (raw) = -1.8801 eV/atom

(6)
A plane-wave DFT calculation with PBE was carried out for a geometry-optimized EuEr2Se structure.

```
4
Lattice="1.8773 1.0839 10.4406 -1.8773 1.0839 10.4406 0.0000 -2.1677 10.4406" Properties=species:S:1:pos:R:3 pbc="T T T"
Eu 0.0000 0.0000 0.0000
Er 0.0000 0.0000 3.4574
Er 0.0000 0.0000 27.8642
Se 0.0000 0.0000 15.6608
```

Properties
ΔE_f (raw) = -0.5946 eV/atom

(7)
A plane-wave DFT calculation with PBE was carried out for a geometry-optimized EuEr2Se4 structure.

```
28
Lattice="12.4906 0.0000 0.0000 0.0000 4.1015 0.0000 0.0000 0.0000 14.8272" Properties=species:S:1:pos:R:3 pbc="T T T"
Eu 3.0109 1.0254 2.4573
Eu 3.2344 3.0761 9.8709
Eu 9.2562 1.0254 4.9563
Eu 9.4797 3.0761 12.3699
Er 0.7765 1.0254 5.7622
Er 1.0505 1.0254 13.3872
Er 5.1948 3.0761 5.9736
Er 5.4688 3.0761 13.1757
Er 7.0218 1.0254 1.6514
Er 7.2958 1.0254 8.8536
Er 11.4401 3.0761 1.4400
Er 11.7141 3.0761 9.0650
Se 0.3526 3.0761 11.6354
Se 1.1458 1.0254 8.5654
Se 1.6343 3.0761 0.4765
Se 2.5607 3.0761 4.8261
Se 3.6846 1.0254 12.2397
Se 4.6110 1.0254 7.8901
Se 5.0994 3.0761 1.1518
Se 5.8926 1.0254 4.2218
Se 6.5979 3.0761 10.6054
Se 7.3911 1.0254 13.6754
Se 7.8796 3.0761 6.9371
Se 8.8060 3.0761 2.5875
Se 9.9299 1.0254 10.0011
Se 10.8563 1.0254 14.3507
Se 11.3447 3.0761 6.2618
Se 12.1379 1.0254 3.1918
```

Properties
ΔE_f (raw) = -1.9311 eV/atom

(8)
A plane-wave DFT calculation with PBE was carried out for a geometry-optimized EuErSi structure.

```
3
Lattice="0.0000 3.5079 3.5079 3.5079 0.0000 3.5079 3.5079 3.5079 0.0000" Properties=species:S:1:pos:R:3 pbc="T T T"
Eu 0.0000 0.0000 0.0000
Er 3.5079 3.5079 3.5079
Si 5.2618 5.2618 5.2618
```

Properties
ΔE_f (raw) = -0.3619 eV/atom
energy above the most stable polymorph in this dataset = 0.000 eV per atom

Number 1: final energy -0.4667 Ry per atom. Number 2: final energy -0.4961 Ry per atom. Number 3: final energy -0.4609 Ry per atom. Number 4: final energy -0.4945 Ry per atom. Number 5: final energy -0.5389 Ry per atom. Number 6: final energy -0.4642 Ry per atom. Number 7: final energy -0.4920 Ry per atom. Number 8: final energy -0.5230 Ry per atom.